Entry 1:
Entry from Alexandria: an optimized crystal structure of CsThH (GGA-PBE).

Output
electronic total energy: -0.130 hartree per atom
M_tot: 1.68 Bohr magnetons per cell

Lattice parameters (Å, degrees): 3.7057 3.7069 14.9992 90.00 90.00 119.99
Last column: nearest neighbours and their distance in Å.
Fractional coordinates of all 6 atoms:
Cs  0.2767  0.5534  0.8669  3 H 2.92-2.93
Cs  0.2767  0.5534  0.1331  3 H 2.92-2.93
Th  0.6127  0.2255  0.6084  3 H 2.68-2.69
Th  0.6127  0.2255  0.3916  3 H 2.68-2.69
H  0.2783  0.5567  0.5000  6 Th 2.68-2.69
H  0.6094  0.2188  0.0000  6 Cs 2.92-2.93

***

Entry 2:
Entry from Alexandria: an optimized crystal structure of NiHgCl5 (GGA-PBE).

Output
electronic total energy: -0.098 hartree per atom
M_tot: 0.00 Bohr magnetons per cell

Lattice parameters (Å, degrees): 6.5146 6.5146 9.6748 106.85 113.65 88.50
Last column: nearest neighbours and their distance in Å.
Fractional coordinates of all 14 atoms:
Cl  0.7415  0.1767  0.8619  1 Ni 2.22
Cl  0.6852  0.6204  0.3619  1 Ni 2.22
Cl  0.2649  0.2286  0.0206  1 Ni 2.22
Cl  0.7351  0.7714  0.9794  1 Ni 2.22
Cl  0.3148  0.3796  0.6381  1 Ni 2.22
Cl  0.7920  0.2557  0.5206  1 Ni 2.22
Cl  0.2585  0.8233  0.1381  1 Ni 2.22
Cl  0.9874  0.2374  0.2500  2 Ni 2.50, 1 Hg 2.71
Cl  0.2080  0.7443  0.4794  1 Ni 2.22
Cl  0.0126  0.7626  0.7500  2 Ni 2.50, 1 Hg 2.71
Ni  0.0000  0.5000  0.5000  4 Cl 2.22
Ni  0.0000  0.0000  0.0000  4 Cl 2.22
Hg  0.6975  0.9475  0.2500  5 Cl 2.64-2.71
Hg  0.3025  0.0525  0.7500  5 Cl 2.64-2.71

***

Entry 3:
Entry from Alexandria: an optimized crystal structure of CaTa2Fe (GGA-PBE).

Output
excess energy over the best structure of this formula in the dataset: 142 meV per atom
energy relative to the elements: 0.45 eV/atom
electronic total energy: -0.298 hartree per atom
M_tot: 0.00 Bohr magnetons per cell

Lattice parameters (Å, degrees): 4.0237 3.0765 6.9934 72.73 90.00 90.00
Last column: nearest neighbours and their distance in Å.
Fractional coordinates of all 4 atoms:
Ta  0.5000  0.3020  0.1731  1 Fe 2.32
Ta  0.0000  0.9545  0.9733  2 Fe 2.48
Ca  0.0000  0.5542  0.5192  2 Ca 3.08, 2 Fe 3.10, 3 Ta 3.16-3.41
Fe  0.5000  0.6894  0.8342  3 Ta 2.32-2.48

***

Entry 4:
Entry from Alexandria: an optimized crystal structure of Na4CaTl5 (GGA-PBE).

Output
energy relative to the elements: -0.16 eV/atom
electronic total energy: -0.076 hartree per atom
M_tot: 0.00 Bohr magnetons per cell

Lattice parameters (Å, degrees): 3.9088 3.9088 18.6472 90.00 90.00 90.00
Last column: nearest neighbours and their distance in Å.
Fractional coordinates of all 10 atoms:
Tl  0.5000  0.5000  0.1050  4 Na 3.31, 4 Ca 3.39, 1 Tl 3.68
Tl  0.5000  0.5000  0.6978  8 Na 3.33, 2 Tl 3.68-3.69
Tl  0.5000  0.5000  0.3022  8 Na 3.33, 2 Tl 3.68-3.69
Tl  0.5000  0.5000  0.8950  4 Na 3.31, 4 Ca 3.39, 1 Tl 3.68
Tl  0.5000  0.5000  0.5000  8 Na 3.32, 2 Tl 3.69
Na  0.0000  0.0000  0.7976  8 Tl 3.31-3.33
Na  0.0000  0.0000  0.4014  8 Tl 3.32-3.33, 2 Na 3.68-3.71
Na  0.0000  0.0000  0.5986  8 Tl 3.32-3.33, 2 Na 3.68-3.71
Na  0.0000  0.0000  0.2024  8 Tl 3.31-3.33
Ca  0.0000  0.0000  0.0000  8 Tl 3.39, 2 Na 3.77

***

- Which formula does entry 3 have?
  CaTa2Fe

***

- Which of these has the highest M_tot?
  CsThH

***

- Which of these has the lowest electronic total energy?
  CaTa2Fe

***

- Number 2 is which compound?
  NiHgCl5